Record 1
The following is a PBE calculation of a relaxed SmDyCdSi crystal, from the Alexandria database.

Summary:
Formation energy (no corrections): -386 meV/atom
Mass density: 7.78 g cm⁻³
Volume: 387 Å³/cell

Cell lengths 7.287, 7.287, 7.287 Å; angles 90.00, 90.00, 90.00 degrees
Sites, in units of the cell vectors:
Sm (0.000, 0.000, 0.000)
Sm (0.000, 0.500, 0.500)
Sm (0.500, 0.000, 0.500)
Sm (0.500, 0.500, 0.000)
Dy (0.000, 0.000, 0.500)
Dy (0.000, 0.500, 0.000)
Dy (0.500, 0.000, 0.000)
Dy (0.500, 0.500, 0.500)
Cd (0.250, 0.250, 0.250)
Cd (0.250, 0.750, 0.750)
Cd (0.750, 0.250, 0.750)
Cd (0.750, 0.750, 0.250)
Si (0.250, 0.250, 0.750)
Si (0.250, 0.750, 0.250)
Si (0.750, 0.250, 0.250)
Si (0.750, 0.750, 0.750)

***

Record 2
The following is a PBE calculation of a relaxed TbDyCdSi crystal, from the Alexandria database.

Summary:
Formation energy (no corrections): -388 meV/atom
Mass density: 8.14 g cm⁻³
Volume: 377 Å³/cell

Cell lengths 7.224, 7.224, 7.224 Å; angles 90.00, 90.00, 90.00 degrees
Sites, in units of the cell vectors:
Tb (0.000, 0.000, 0.000)
Tb (0.000, 0.500, 0.500)
Tb (0.500, 0.000, 0.500)
Tb (0.500, 0.500, 0.000)
Dy (0.000, 0.000, 0.500)
Dy (0.000, 0.500, 0.000)
Dy (0.500, 0.000, 0.000)
Dy (0.500, 0.500, 0.500)
Cd (0.250, 0.250, 0.750)
Cd (0.250, 0.750, 0.250)
Cd (0.750, 0.250, 0.250)
Cd (0.750, 0.750, 0.750)
Si (0.250, 0.250, 0.250)
Si (0.250, 0.750, 0.750)
Si (0.750, 0.250, 0.750)
Si (0.750, 0.750, 0.250)

***

Record 3
The following is a PBE calculation of a relaxed DyYCdSi crystal, from the Alexandria database.

Summary:
Formation energy (no corrections): -397 meV/atom
Mass density: 6.92 g cm⁻³
Volume: 376 Å³/cell

Cell lengths 7.218, 7.218, 7.218 Å; angles 90.00, 90.00, 90.00 degrees
Sites, in units of the cell vectors:
Dy (0.000, 0.000, 0.000)
Dy (0.000, 0.500, 0.500)
Dy (0.500, 0.000, 0.500)
Dy (0.500, 0.500, 0.000)
Y (0.000, 0.000, 0.500)
Y (0.000, 0.500, 0.000)
Y (0.500, 0.000, 0.000)
Y (0.500, 0.500, 0.500)
Cd (0.250, 0.250, 0.750)
Cd (0.250, 0.750, 0.250)
Cd (0.750, 0.250, 0.250)
Cd (0.750, 0.750, 0.750)
Si (0.250, 0.250, 0.250)
Si (0.250, 0.750, 0.750)
Si (0.750, 0.250, 0.750)
Si (0.750, 0.750, 0.250)

***

Record 4
The following is a PBE calculation of a relaxed SmDy4Cd3 crystal, from the Alexandria database.

Summary:
Electronic total energy: -27.2 eV/cell
Mass density: 8.47 g cm⁻³
Volume: 223 Å³/cell

Cell lengths 9.545, 9.545, 9.545 Å; angles 32.49, 32.49, 32.49 degrees
Sites, in units of the cell vectors:
Sm (0.000, 0.000, 0.000)
Dy (0.130, 0.130, 0.130)
Dy (0.386, 0.386, 0.386)
Dy (0.614, 0.614, 0.614)
Dy (0.870, 0.870, 0.870)
Cd (0.259, 0.259, 0.259)
Cd (0.500, 0.500, 0.500)
Cd (0.741, 0.741, 0.741)

***

Record 5
The following is a PBE calculation of a relaxed Sm2DyCd3 crystal, from the Alexandria database.

Summary:
Electronic total energy: -18.7 eV/cell
Mass density: 8.14 g cm⁻³
Volume: 163 Å³/cell

Cell lengths 3.786, 3.786, 11.398 Å; angles 90.00, 90.00, 90.00 degrees
Sites, in units of the cell vectors:
Sm (0.000, 0.000, 0.169)
Sm (0.000, 0.000, 0.831)
Dy (0.000, 0.000, 0.500)
Cd (0.500, 0.500, 0.000)
Cd (0.500, 0.500, 0.341)
Cd (0.500, 0.500, 0.659)

***

Record 6
The following is a PBE calculation of a relaxed Sm6Dy3Cd crystal, from the Alexandria database.

Summary:
Energy above the most stable polymorph in this dataset: 0 kJ/mol of formula units
Mass density: 7.83 g cm⁻³
Volume: 637 Å³/cell

Cell lengths 11.101, 5.072, 11.315 Å; angles 90.00, 91.50, 90.00 degrees
Sites, in units of the cell vectors:
Sm (0.047, 0.250, 0.395)
Sm (0.141, 0.750, 0.186)
Sm (0.153, 0.250, 0.691)
Sm (0.238, 0.250, 0.995)
Sm (0.346, 0.750, 0.798)
Sm (0.449, 0.250, 0.602)
Sm (0.551, 0.750, 0.398)
Sm (0.654, 0.250, 0.202)
Sm (0.762, 0.750, 0.005)
Sm (0.847, 0.750, 0.309)
Sm (0.859, 0.250, 0.814)
Sm (0.953, 0.750, 0.605)
Dy (0.248, 0.750, 0.492)
Dy (0.348, 0.250, 0.293)
Dy (0.449, 0.750, 0.099)
Dy (0.551, 0.250, 0.901)
Dy (0.652, 0.750, 0.707)
Dy (0.752, 0.250, 0.508)
Cd (0.051, 0.750, 0.896)
Cd (0.949, 0.250, 0.104)